DFT (PBE) results for crystalline Hf2PdRuO at its relaxed geometry.

a = 4.897 Å, b = 4.700 Å, c = 4.897 Å
α = 90.00°, β = 90.00°, γ = 90.00°
Fractional positions:
Hf: 0.000 0.000 0.500
Hf: 0.500 0.000 0.000
Pd: 0.000 0.500 0.000
Ru: 0.000 0.000 0.000
O: 0.500 0.500 0.500

Values from the calculation:
As for the uncorrected formation energy: 0.799 eV/atom. The energy comes out at -7.07 eV per atom. Its magnetization is 0.00 μB/atom. The space group is P4/mmm.